Density functional theory data (GGA-PBE) for Zr2As2Os after structural relaxation.

a = 6.367 Å, b = 6.367 Å, c = 4.393 Å
α = 90.00°, β = 90.00°, γ = 90.00°
Atoms (fractional coordinates):
Zr (0.163, 0.337, 0.000)
Zr (0.337, 0.837, 0.000)
Zr (0.663, 0.163, 0.000)
Zr (0.837, 0.663, 0.000)
As (0.142, 0.642, 0.500)
As (0.358, 0.142, 0.500)
As (0.642, 0.858, 0.500)
As (0.858, 0.358, 0.500)
Os (0.000, 0.000, 0.500)
Os (0.500, 0.500, 0.500)

Computed properties:
The symmetry is P4/mbm, No. 127. The density of states at the Fermi level is 0.21 states/eV/f.u. The calculation puts the formation energy at -564 meV/atom. The total moment is 0.00 μB per formula unit.